Record 1
Computed, not measured: a relaxed structure of FePRu2 at the PBE level of DFT.

The formation energy comes out at 8 meV per atom.

The space group is Pmm2 (No. 25) and the conventional cell measures 2.834, 3.666 and 5.044 Å, with angles of 90.00, 90.00 and 90.00 degrees. The inequivalent atoms are Fe at (0.000, 0.000, 0.000), P at (0.500, 0.500, 0.299), Ru at (0.000, 0.000, 0.482) and Ru at (0.500, 0.500, 0.826).

Record 2
Computed, not measured: a relaxed structure of Rb2AcU3N8 at the PBE level of DFT.

The raw total energy is -358.4 eV per cell.

The space group is R3m (No. 160, hexagonal axes) and the conventional cell measures 7.1518, 7.1518 and 20.5200 Å, with angles of 90.00, 90.00 and 120.00 degrees. The inequivalent atoms are Rb at (0.0000, 0.0000, 0.0000), Rb at (0.0000, 0.0000, 0.3569), Ac at (0.0000, 0.0000, 0.8170), U at (0.1678, 0.3357, 0.1917), N at (0.0000, 0.0000, 0.1427), N at (0.0000, 0.0000, 0.5733), N at (0.0596, 0.5298, 0.1413) and N at (0.1786, 0.3573, 0.8985).

Record 3
Computed, not measured: a relaxed structure of Ce4Y at the PBE level of DFT.

The formation energy comes out at 872 meV per atom.

The space group is Pm-3m (No. 221) and the conventional cell measures 5.656, 5.656 and 5.656 Å, with angles of 90.00, 90.00 and 90.00 degrees. The inequivalent atoms are Ce at (0.000, 0.000, 0.000), Ce at (0.000, 0.500, 0.500) and Y at (0.500, 0.500, 0.500).

What did the first record say?
Computed, not measured: a relaxed structure of FePRu2 at the PBE level of DFT.

The formation energy comes out at 8 meV per atom.

The space group is Pmm2 (No. 25) and the conventional cell measures 2.834, 3.666 and 5.044 Å, with angles of 90.00, 90.00 and 90.00 degrees. The inequivalent atoms are Fe at (0.000, 0.000, 0.000), P at (0.500, 0.500, 0.299), Ru at (0.000, 0.000, 0.482) and Ru at (0.500, 0.500, 0.826).